VASP calculation (PBE) on crystalline BeBSb2Pd at its relaxed geometry.

abc: 4.957 4.957 3.494
angles: 90.00 90.00 90.00
Fractional positions:
Be (0.000, 0.000, 0.000)
B (0.000, 0.000, 0.500)
Sb (0.000, 0.500, 0.500)
Sb (0.500, 0.000, 0.500)
Pd (0.500, 0.500, 0.000)

Calculated values
Size of the total moment ... 0.00 μB per atom
E_tot ... -22.03 eV for the cell shown
Formation energy without anion corrections ... 0.36 eV/atom
Symmetry ... P4/mmm, No. 123
Density of states at the Fermi level ... 1.8 states/eV/cell